Entry 1:
Here is a geometry-optimized Rb2ZnSF6 structure from Alexandria via LeMat-Bulk. Energies are from PBE.

Summary:
Mass density in g cm⁻³: 3.6
E_form (uncorrected) in meV/atom: -2097.6

Cell lengths 5.7954, 5.7954, 10.4048 Å; angles 90.00, 90.00, 90.00 degrees
With the nearest neighbours (Å) after each atom.
Space group I4/mmm (No. 139)
Symmetry-distinct sites (fractional):
Rb1 0.0000 0.5000 0.2500  12 F 2.98-3.31
Zn1 0.0000 0.0000 0.0000  2 F 1.90
S1 0.0000 0.0000 0.5000  4 F 1.93
F1 0.0000 0.0000 0.1829  1 Zn 1.90
F2 0.2351 0.2351 0.5000  1 S 1.93

Entry 2:
Here is a geometry-optimized Ba2HfSnMo structure from Alexandria via LeMat-Bulk. Energies are from PBE.

Summary:
Mass density in g cm⁻³: 5.6

Cell lengths 6.0277, 6.0277, 5.4329 Å; angles 90.00, 90.00, 90.00 degrees
With the nearest neighbours (Å) after each atom.
Space group P4/mmm (No. 123)
Symmetry-distinct sites (fractional):
Ba1 0.0000 0.5000 0.0000  2 Hf 3.01
Hf1 0.0000 0.0000 0.0000  2 Sn 2.72, 4 Ba 3.01
Sn1 0.0000 0.0000 0.5000  2 Hf 2.72
Mo1 0.5000 0.5000 0.5000  8 Ba 4.06, 4 Sn 4.26

Entry 3:
Here is a geometry-optimized BaZnCr4 structure from Alexandria via LeMat-Bulk. Energies are from PBE.

Summary:
Mass density in g cm⁻³: 7.0

Cell lengths 7.2877, 7.2877, 7.2877 Å; angles 90.00, 90.00, 90.00 degrees
With the nearest neighbours (Å) after each atom.
Space group F-43m (No. 216)
Symmetry-distinct sites (fractional):
Ba1 0.0000 0.0000 0.0000  12 Cr 3.03, 4 Zn 3.16
Zn1 0.2500 0.2500 0.2500  12 Cr 3.01, 4 Ba 3.16
Cr1 0.1217 0.1217 0.6217  6 Cr 2.51-2.64

Entry 4:
Here is a geometry-optimized MgFeSn2 structure from Alexandria via LeMat-Bulk. Energies are from PBE.

Summary:
Mass density in g cm⁻³: 6.4

Cell lengths 3.3473, 3.3473, 25.5957 Å; angles 90.00, 90.00, 120.00 degrees
With the nearest neighbours (Å) after each atom.
Space group R-3m (No. 166, hexagonal axes)
Symmetry-distinct sites (fractional):
Mg1 0.0000 0.0000 0.0000  6 Sn 3.10, 6 Mg 3.35
Fe1 0.0000 0.0000 0.5000  6 Sn 2.67
Sn1 0.0000 0.0000 0.2389  3 Fe 2.67

Entry 5:
Here is a geometry-optimized BiPdPtAu structure from Alexandria via LeMat-Bulk. Energies are from PBE.

Summary:
Mass density in g cm⁻³: 15.6

Cell lengths 6.7090, 6.7090, 6.7090 Å; angles 90.00, 90.00, 90.00 degrees
With the nearest neighbours (Å) after each atom.
Space group F-43m (No. 216)
Symmetry-distinct sites (fractional):
Bi1 0.0000 0.0000 0.0000  4 Pt 2.91, 4 Pd 2.91
Pd1 0.2500 0.2500 0.7500  4 Bi 2.91, 4 Au 2.91
Pt1 0.2500 0.2500 0.2500  4 Bi 2.91, 4 Au 2.91
Au1 0.0000 0.0000 0.5000  4 Pd 2.91, 4 Pt 2.91

Entry 6:
Here is a geometry-optimized FeCuSi2 structure from Alexandria via LeMat-Bulk. Energies are from PBE.

Summary:
Mass density in g cm⁻³: 6.0
E_form (uncorrected) in meV/atom: -197.8

Cell lengths 2.7320, 4.2585, 8.4810 Å; angles 90.00, 99.26, 90.00 degrees
With the nearest neighbours (Å) after each atom.
Space group P2_1/m (No. 11)
Symmetry-distinct sites (fractional):
Fe1 0.1575 0.2500 0.3143  6 Si 2.34-2.45
Cu1 0.3934 0.2500 0.7894  5 Si 2.37-2.49
Si1 0.2295 0.7500 0.4590  4 Fe 2.34-2.45, 2 Cu 2.49
Si2 0.4573 0.7500 0.9148  2 Fe 2.35, 3 Cu 2.37-2.48, 2 Si 2.56

Entry 7:
Here is a geometry-optimized Na3VGe structure from Alexandria via LeMat-Bulk. Energies are from PBE.

Summary:
Mass density in g cm⁻³: 1.9
Energy above the most stable polymorph in this dataset in meV/atom: 0

Cell lengths 5.4955, 5.4955, 5.4955 Å; angles 90.00, 90.00, 90.00 degrees
With the nearest neighbours (Å) after each atom.
Space group Pm-3m (No. 221)
Symmetry-distinct sites (fractional):
Na1 0.0000 0.0000 0.5000  2 Ge 2.75
V1 0.5000 0.5000 0.5000  12 Na 3.89
Ge1 0.0000 0.0000 0.0000  6 Na 2.75

Entry 8:
Here is a geometry-optimized AcTb2Y6Tm3 structure from Alexandria via LeMat-Bulk. Energies are from PBE.

Summary:
Mass density in g cm⁻³: 6.7

Cell lengths 6.2138, 10.7561, 11.8628 Å; angles 90.00, 100.04, 90.00 degrees
With the nearest neighbours (Å) after each atom.
Space group C2/m (No. 12)
Symmetry-distinct sites (fractional):
Ac1 0.0000 0.0000 0.0000  6 Tb 3.59, 6 Y 3.65
Tb1 0.0000 0.3334 0.0000  3 Tb 3.58-3.59, 3 Ac 3.59, 6 Y 3.63
Y1 0.2461 0.3320 0.7441  3 Tm 3.51-3.53, 6 Y 3.57-3.62, 2 Tb 3.63, 1 Ac 3.65
Y2 0.2503 0.0000 0.7439  3 Tm 3.51-3.53, 6 Y 3.57-3.62, 2 Tb 3.63, 1 Ac 3.65
Tm1 0.0000 0.1670 0.5000  6 Y 3.51-3.53, 6 Tm 3.58-3.59
Tm2 0.0000 0.5000 0.5000  6 Y 3.51-3.53, 6 Tm 3.58-3.59

Calculated total magnetization (Bohr magnetons per cell), listed in the same order as above: 0.000 0.001 0.072 5.493 0.000 0.552 3.897 0.000
Calculated DFT total energy (eV/atom), listed in the same order as above: -3.954 -4.021 -5.936 -4.431 -4.711 -6.049 -2.657 -5.428